Record 1
## MgAl2Re (GGA-PBE)

Data for crystalline MgAl2Re at its relaxed geometry.

As for the formation energy: 6.77 kJ/mol of atoms. Its magnetization is 0.000 μB per atom. The calculated volume is 15.98 Å³/atom.

The space group is Pmm2 (No. 25) and the conventional cell measures 2.818, 4.116 and 5.511 Å, with angles of 90.00, 90.00 and 90.00 degrees. The distinct sites, in fractional coordinates, are Mg at (0.000, 0.000, 0.000), Al at (0.000, 0.000, 0.475), Al at (0.500, 0.500, 0.747) and Re at (0.500, 0.500, 0.263).

Record 2
## Mg2AlRe (GGA-PBE)

Data for crystalline Mg2AlRe at its relaxed geometry.

As for the formation energy: 12.98 kJ/mol of atoms. Its magnetization is 0.000 μB per atom. The calculated volume is 16.89 Å³/atom.

The space group is Pmm2 (No. 25) and the conventional cell measures 2.800, 4.198 and 5.747 Å, with angles of 90.00, 90.00 and 90.00 degrees. The distinct sites, in fractional coordinates, are Mg at (0.000, 0.000, 0.000), Mg at (0.500, 0.500, 0.263), Al at (0.500, 0.500, 0.719) and Re at (0.000, 0.000, 0.517).

Record 3
## Mg2AlRe (GGA-PBE)

Data for crystalline Mg2AlRe at its relaxed geometry.

As for the formation energy: 23.97 kJ/mol of atoms. Its magnetization is 0.000 μB per atom. The calculated volume is 17.20 Å³/atom.

The space group is P4/mmm (No. 123) and the conventional cell measures 2.778, 2.778 and 8.912 Å, with angles of 90.00, 90.00 and 90.00 degrees. The distinct sites, in fractional coordinates, are Mg at (0.000, 0.000, 0.241), Al at (0.500, 0.500, 0.500) and Re at (0.500, 0.500, 0.000).

Record 4
## MgAlRe (GGA-PBE)

Data for crystalline MgAlRe at its relaxed geometry.

As for the formation energy: 17.88 kJ/mol of atoms. Its offset from the most stable computed form is 0.268 eV/atom. Its magnetization is 0.000 μB per atom. The calculated volume is 16.44 Å³/atom.

The space group is I4mm (No. 107) and the conventional cell measures 2.764, 2.764 and 12.911 Å, with angles of 90.00, 90.00 and 90.00 degrees. The distinct sites, in fractional coordinates, are Mg at (0.000, 0.000, 0.000), Al at (0.000, 0.000, 0.316) and Re at (0.000, 0.000, 0.668).

Record 5
## MgAl2Re (GGA-PBE)

Data for crystalline MgAl2Re at its relaxed geometry.

As for the formation energy: 19.38 kJ/mol of atoms. Its magnetization is 0.000 μB per atom. The calculated volume is 15.53 Å³/atom.

The space group is F-43m (No. 216) and the conventional cell measures 6.287, 6.287 and 6.287 Å, with angles of 90.00, 90.00 and 90.00 degrees. The distinct sites, in fractional coordinates, are Mg at (0.000, 0.000, 0.000), Al at (0.000, 0.000, 0.500), Al at (0.250, 0.250, 0.250) and Re at (0.250, 0.250, 0.750).

Record 6
## MgAl10Re2 (GGA-PBE)

Data for crystalline MgAl10Re2 at its relaxed geometry.

As for the formation energy: -16.32 kJ/mol of atoms. Its magnetization is 0.000 μB per atom. The calculated volume is 16.67 Å³/atom.

The space group is Cmcm (No. 63) and the conventional cell measures 9.199, 10.326 and 9.128 Å, with angles of 90.00, 90.00 and 90.00 degrees. The distinct sites, in fractional coordinates, are Mg at (0.000, 0.135, 0.250), Al at (0.000, 0.143, 0.594), Al at (0.000, 0.374, 0.031), Al at (0.164, 0.371, 0.750), Al at (0.217, 0.365, 0.250), Al at (0.230, 0.000, 0.000) and Re at (0.250, 0.250, 0.000).

Record 7
## MgAl2Re (GGA-PBE)

Data for crystalline MgAl2Re at its relaxed geometry.

As for the formation energy: 2.87 kJ/mol of atoms. Its magnetization is 0.000 μB per atom. The calculated volume is 15.93 Å³/atom.

The space group is Cm (No. 8) and the conventional cell measures 9.668, 2.742 and 4.846 Å, with angles of 90.00, 97.24 and 90.00 degrees. The distinct sites, in fractional coordinates, are Mg at (0.000, 0.000, 0.000), Al at (0.016, 0.500, 0.517), Al at (0.262, 0.500, 0.249) and Re at (0.252, 0.000, 0.742).

Record 8
## Mg2AlRe (GGA-PBE)

Data for crystalline Mg2AlRe at its relaxed geometry.

As for the formation energy: 35.83 kJ/mol of atoms. Its magnetization is 0.000 μB per atom. The calculated volume is 17.26 Å³/atom.

The space group is P4/mmm (No. 123) and the conventional cell measures 4.965, 4.965 and 2.801 Å, with angles of 90.00, 90.00 and 90.00 degrees. The distinct sites, in fractional coordinates, are Mg at (0.000, 0.500, 0.000), Al at (0.000, 0.000, 0.500) and Re at (0.500, 0.500, 0.500).

Record 9
## MgAlRe (GGA-PBE)

Data for crystalline MgAlRe at its relaxed geometry.

As for the formation energy: 13.76 kJ/mol of atoms. Its offset from the most stable computed form is 0.225 eV/atom. Its magnetization is 0.000 μB per atom. The calculated volume is 16.27 Å³/atom.

The space group is Fmm2 (No. 42) and the conventional cell measures 3.285, 4.459 and 13.331 Å, with angles of 90.00, 90.00 and 90.00 degrees. The distinct sites, in fractional coordinates, are Mg at (0.000, 0.000, 0.000), Al at (0.000, 0.000, 0.682) and Re at (0.000, 0.000, 0.332).

Record 10
## MgAl2Re (GGA-PBE)

Data for crystalline MgAl2Re at its relaxed geometry.

As for the formation energy: -9.83 kJ/mol of atoms. Its magnetization is 0.000 μB per atom. The calculated volume is 15.95 Å³/atom.

The space group is P4/mmm (No. 123) and the conventional cell measures 3.285, 3.285 and 5.912 Å, with angles of 90.00, 90.00 and 90.00 degrees. The distinct sites, in fractional coordinates, are Mg at (0.000, 0.000, 0.000), Al at (0.500, 0.500, 0.281) and Re at (0.000, 0.000, 0.500).

Record 11
## Mg2AlRe (GGA-PBE)

Data for crystalline Mg2AlRe at its relaxed geometry.

As for the formation energy: 21.66 kJ/mol of atoms. Its magnetization is 0.000 μB per atom. The calculated volume is 17.11 Å³/atom.

The space group is Cmmm (No. 65) and the conventional cell measures 3.317, 4.458 and 9.256 Å, with angles of 90.00, 90.00 and 90.00 degrees. The distinct sites, in fractional coordinates, are Mg at (0.000, 0.000, 0.239), Al at (0.000, 0.500, 0.500) and Re at (0.000, 0.500, 0.000).

Record 12
## Mg2AlRe (GGA-PBE)

Data for crystalline Mg2AlRe at its relaxed geometry.

As for the formation energy: 18.16 kJ/mol of atoms. Its magnetization is 0.000 μB per atom. The calculated volume is 16.41 Å³/atom.

The space group is F-43m (No. 216) and the conventional cell measures 6.403, 6.403 and 6.403 Å, with angles of 90.00, 90.00 and 90.00 degrees. The distinct sites, in fractional coordinates, are Mg at (0.000, 0.000, 0.000), Mg at (0.250, 0.250, 0.250), Al at (0.000, 0.000, 0.500) and Re at (0.250, 0.250, 0.750).